No. 1
Mg2VNiBi: relaxed, GGA-PBE.

Output
* raw total energy: -0.273 Ry/atom
* N(E_F): 6.66 states/eV/f.u.
* calculated volume: 22.2 A^3/atom

Cell: 4.725 4.725 4.968 Å, 90.00 90.00 90.00°
Fractional positions:
Mg 0.000 0.500 0.000
Mg 0.500 0.000 0.000
V 0.000 0.000 0.500
Ni 0.500 0.500 0.000
Bi 0.500 0.500 0.500

No. 2
DyHg3: relaxed, GGA-PBE.

Output
* raw total energy: -0.124 Ry/atom
* N(E_F): 1.62 states/eV/f.u.
* calculated volume: 23.8 A^3/atom

Cell: 5.046 5.046 7.475 Å, 90.00 90.00 90.00°
Fractional positions:
Dy 0.000 0.000 0.000
Dy 0.500 0.500 0.500
Hg 0.000 0.000 0.500
Hg 0.000 0.500 0.250
Hg 0.000 0.500 0.750
Hg 0.500 0.000 0.250
Hg 0.500 0.000 0.750
Hg 0.500 0.500 0.000

> Among the records above, which one has the highest raw total energy?

DyHg3

> Among the records above, which one has the highest N(E_F)?

Mg2VNiBi